A relaxed structure of GdYF3, computed with PBE.

Output
ρ: 6.07 g/cm3
Total DFT energy (no corrections): -64.8 eV per cell

Structure (POSCAR):
```
GdYF3
1.0
6.419 -1.783 0.000
6.419 1.783 0.000
-2.732 0.000 7.251
F Gd Y
6 2 2
direct
0.210 0.210 0.090 F
0.950 0.950 0.296 F
0.322 0.322 0.454 F
0.678 0.678 0.546 F
0.050 0.050 0.704 F
0.790 0.790 0.910 F
0.401 0.401 0.084 Gd
0.599 0.599 0.916 Gd
0.133 0.133 0.319 Y
0.867 0.867 0.681 Y
```